Entry 1:
Here is an optimized crystal structure of Sr2MoPN5 from Alexandria. Energies are from PBE.

DFT total energy = -7.4230 eV/atom
Space-group type = Cmc2_1, No. 36

Cell: 3.1166 7.2486 11.4823 Å, 90.00 90.00 102.41°
Last column: nearest neighbours and their distance in Å.
Element x y z (fractional)
N 0.0448 0.0895 0.0007  2 P 1.83
N 0.3217 0.6435 0.4135  1 P 1.66
N 0.9552 0.9105 0.5007  2 P 1.83
N 0.6783 0.3565 0.9135  1 P 1.66
N 0.6653 0.3307 0.5054  1 Mo 1.78
N 0.7058 0.4117 0.1513  2 Mo 1.99
N 0.4957 0.9913 0.3008  1 P 1.58
N 0.5043 0.0087 0.8008  1 P 1.58
N 0.2942 0.5883 0.6513  2 Mo 1.99
N 0.3347 0.6693 0.0054  1 Mo 1.78
Sr 0.8605 0.7211 0.8265  7 N 2.58-2.77
Sr 0.0893 0.1787 0.6621  5 N 2.53-2.65
Sr 0.9107 0.8213 0.1621  5 N 2.53-2.65
Sr 0.1395 0.2789 0.3265  7 N 2.58-2.77
P 0.5608 0.1216 0.9199  2 N 1.58-1.66
P 0.4392 0.8784 0.4199  2 N 1.58-1.66
Mo 0.2129 0.4258 0.0438  3 N 1.78-1.99
Mo 0.7871 0.5742 0.5438  3 N 1.78-1.99

Entry 2:
Here is an optimized crystal structure of SrMoP2N6 from Alexandria. Energies are from PBE.

DFT total energy = -7.8040 eV/atom
Space-group type = C2/c, No. 15

Cell: 5.4109 7.3612 7.3612 Å, 95.72 76.92 76.92°
Last column: nearest neighbours and their distance in Å.
Element x y z (fractional)
Mo 0.2500 0.3003 0.6997  4 N 1.84-1.88
Mo 0.7500 0.6997 0.3003  4 N 1.84-1.88
N 0.7197 0.6619 0.0565  1 P 1.67, 1 Mo 1.84
N 0.9334 0.2103 0.1783  2 P 1.66
N 0.7803 0.9435 0.3381  1 P 1.67, 1 Mo 1.84
N 0.4334 0.1783 0.2103  2 P 1.66
N 0.0714 0.5306 0.2924  1 P 1.62
N 0.0666 0.7897 0.8217  2 P 1.66
N 0.2803 0.3381 0.9435  1 P 1.67, 1 Mo 1.84
N 0.5666 0.8217 0.7897  2 P 1.66
N 0.9286 0.4694 0.7076  1 P 1.62
N 0.2197 0.0565 0.6619  1 P 1.67, 1 Mo 1.84
N 0.5714 0.2924 0.5306  1 P 1.62
N 0.4286 0.7076 0.4694  1 P 1.62
Sr 0.7500 0.1399 0.8601  6 N 2.53-2.79
Sr 0.2500 0.8601 0.1399  6 N 2.53-2.79
P 0.6715 0.1705 0.3201  4 N 1.62-1.67
P 0.3285 0.8295 0.6799  4 N 1.62-1.67
P 0.8285 0.6799 0.8295  4 N 1.62-1.67
P 0.1715 0.3201 0.1705  4 N 1.62-1.67

Entry 3:
Here is an optimized crystal structure of TaMoP2N from Alexandria. Energies are from PBE.

DFT total energy = -7.9053 eV/atom
Space-group type = P4/mmm, No. 123

Cell: 4.1776 3.9534 4.1776 Å, 90.00 90.00 90.00°
Last column: nearest neighbours and their distance in Å.
Element x y z (fractional)
Mo 0.5000 0.5000 0.5000  8 P 2.88, 4 Ta 2.95
P 0.0000 0.0000 0.5000  2 N 2.09
P 0.5000 0.0000 0.0000  2 N 2.09
N 0.0000 0.0000 0.0000  2 Ta 1.98, 4 P 2.09
Ta 0.0000 0.5000 0.0000  2 N 1.98

Entry 4:
Here is an optimized crystal structure of UMoPN from Alexandria. Energies are from PBE.

DFT total energy = -9.9218 eV/atom
Space-group type = P4/nmm, No. 129

Cell: 3.8632 3.8632 8.3925 Å, 90.00 90.00 90.00°
Last column: nearest neighbours and their distance in Å.
Element x y z (fractional)
P 0.5000 0.0000 0.6864  4 Mo 2.49
P 0.0000 0.5000 0.3136  4 Mo 2.49
U 0.5000 0.0000 0.1392  4 N 2.26
U 0.0000 0.5000 0.8608  4 N 2.26
N 0.5000 0.5000 0.0000  4 U 2.26
N 0.0000 0.0000 0.0000  4 U 2.26
Mo 0.0000 0.0000 0.5000  4 P 2.49, 4 Mo 2.73
Mo 0.5000 0.5000 0.5000  4 P 2.49, 4 Mo 2.73

Entry 5:
Here is an optimized crystal structure of PaMo2N from Alexandria. Energies are from PBE.

DFT total energy = -9.5817 eV/atom
Space-group type = R-3m, No. 166

Cell: 3.1892 3.1892 7.7646 Å, 78.15 78.15 60.00°
Last column: nearest neighbours and their distance in Å.
Element x y z (fractional)
Pa 0.0000 0.0000 0.0000  2 Mo 2.73
Mo 0.1204 0.1204 0.6387  3 N 2.12
Mo 0.8796 0.8796 0.3613  3 N 2.12
N 0.5000 0.5000 0.5000  6 Mo 2.12

Entry 6:
Here is an optimized crystal structure of PaMoN from Alexandria. Energies are from PBE.

Excess energy over the best structure of this formula in the dataset = 0 meV per atom
DFT total energy = -10.1550 eV/atom
Space-group type = P4_2/mmc, No. 131

Cell: 4.8529 6.1749 6.1749 Å, 90.00 90.00 90.00°
Last column: nearest neighbours and their distance in Å.
Element x y z (fractional)
Mo 0.0000 0.2212 0.0000  2 N 2.26
Mo 0.5000 0.0000 0.2212  2 N 2.26
Mo 0.0000 0.7788 0.0000  2 N 2.26
Mo 0.5000 0.0000 0.7788  2 N 2.26
Pa 0.0000 0.2202 0.5000  4 N 2.37-2.43
Pa 0.0000 0.7798 0.5000  4 N 2.37-2.43
Pa 0.5000 0.5000 0.7798  4 N 2.37-2.43
Pa 0.5000 0.5000 0.2202  4 N 2.37-2.43
N 0.5000 0.7624 0.5000  2 Mo 2.26, 4 Pa 2.37-2.43
N 0.0000 0.5000 0.7624  2 Mo 2.26, 4 Pa 2.37-2.43
N 0.5000 0.2376 0.5000  2 Mo 2.26, 4 Pa 2.37-2.43
N 0.0000 0.5000 0.2376  2 Mo 2.26, 4 Pa 2.37-2.43

Entry 7:
Here is an optimized crystal structure of Pa4MoN7 from Alexandria. Energies are from PBE.

DFT total energy = -10.3834 eV/atom
Space-group type = C2/m, No. 12

Cell: 3.9007 6.7335 6.9225 Å, 83.45 73.64 73.16°
Last column: nearest neighbours and their distance in Å.
Element x y z (fractional)
Pa 0.4196 0.7827 0.3780  5 N 2.29-2.42
Pa 0.7527 0.6620 0.8326  5 N 2.26-2.48
Pa 0.2473 0.3380 0.1674  5 N 2.26-2.48
Pa 0.5804 0.2173 0.6220  5 N 2.29-2.42
Mo 0.0000 0.0000 0.0000  4 N 1.95-2.11
N 0.9012 0.3107 0.8868  1 Mo 2.11, 1 Pa 2.28
N 0.8025 0.8533 0.5416  4 Pa 2.26-2.42
N 0.0988 0.6893 0.1132  1 Mo 2.11, 1 Pa 2.28
N 0.5000 0.0000 0.0000  2 Mo 1.95
N 0.1975 0.1467 0.4584  4 Pa 2.26-2.42
N 0.3721 0.5761 0.6797  4 Pa 2.28-2.37
N 0.6279 0.4239 0.3203  4 Pa 2.28-2.37

Entry 8:
Here is an optimized crystal structure of PaMoN from Alexandria. Energies are from PBE.

Excess energy over the best structure of this formula in the dataset = 658 meV per atom
DFT total energy = -9.4972 eV/atom
Space-group type = I4mm, No. 107

Cell: 2.8534 2.8534 5.9264 Å, 103.93 103.93 90.00°
Last column: nearest neighbours and their distance in Å.
Element x y z (fractional)
N 0.7081 0.7081 0.4163  4 Mo 2.18
Mo 0.2823 0.2823 0.5646  4 N 2.18
Pa 0.0095 0.0095 0.0191  4 Pa 2.85, 4 N 2.99, 1 Mo 3.04

DFT total energy of number 3 (TaMoP2N)? -7.9053 eV/atom